1.
Below is crystalline Ir3PdW at its relaxed geometry, with properties calculated at the GGA-PBE level.

a b c (Å): 4.625 4.625 4.625
angles (deg): 90.00 90.00 90.00
Space group Pm-3m (No. 221)
Asymmetric unit:
Ir 0.000 0.000 0.500 (multiplicity 3)
Pd 0.000 0.000 0.000 (multiplicity 1)
W 0.500 0.500 0.500 (multiplicity 1)

Distance to the lowest polymorph of the same formula: 4.059 eV/f.u.
Calculated volume: 99 Å³/cell
D(E_F): 7.4 states/eV/cell



2.
Below is crystalline BaSb2 at its relaxed geometry, with properties calculated at the GGA-PBE level.

a b c (Å): 4.258 4.258 11.788
angles (deg): 90.00 90.00 90.00
Space group I4/mmm (No. 139)
Asymmetric unit:
Ba 0.000 0.000 0.000 (multiplicity 2)
Sb 0.000 0.000 0.291 (multiplicity 4)

ΔE_f (raw): -0.556 eV per atom
Calculated volume: 214 Å³/cell
D(E_F): 2.6 states/eV/cell



3.
Below is crystalline Ac3PuSn4 at its relaxed geometry, with properties calculated at the GGA-PBE level.

a b c (Å): 8.076 8.076 8.076
angles (deg): 90.00 90.00 90.00
Space group Im-3m (No. 229)
Asymmetric unit:
Ac 0.000 0.000 0.500 (multiplicity 6)
Pu 0.000 0.000 0.000 (multiplicity 2)
Sn 0.250 0.250 0.250 (multiplicity 8)

Energy: -5.788 eV/atom
Calculated volume: 527 Å³/cell
D(E_F): 36.3 states/eV/cell



4.
Below is crystalline KNa2Tc2O7 at its relaxed geometry, with properties calculated at the GGA-PBE level.

a b c (Å): 3.928 3.928 19.615
angles (deg): 90.00 90.00 90.00
Space group I4/mmm (No. 139)
Asymmetric unit:
K 0.000 0.000 0.000 (multiplicity 2)
Na 0.000 0.500 0.250 (multiplicity 4)
Tc 0.000 0.000 0.399 (multiplicity 4)
O 0.000 0.000 0.303 (multiplicity 4)
O 0.000 0.000 0.500 (multiplicity 2)
O 0.000 0.500 0.100 (multiplicity 8)

ΔE_f (raw): -1.507 eV per atom
Calculated volume: 303 Å³/cell
D(E_F): 3.7 states/eV/cell



5.
Below is crystalline YAg2BiP at its relaxed geometry, with properties calculated at the GGA-PBE level.

a b c (Å): 5.415 5.415 5.156
angles (deg): 90.00 90.00 90.00
Space group P4/mmm (No. 123)
Asymmetric unit:
Y 0.000 0.000 0.000 (multiplicity 1)
Ag 0.000 0.500 0.000 (multiplicity 2)
Bi 0.500 0.500 0.500 (multiplicity 1)
P 0.000 0.000 0.500 (multiplicity 1)

Distance to the lowest polymorph of the same formula: 0.406 eV/f.u.
Calculated volume: 151 Å³/cell
D(E_F): 4.2 states/eV/cell



6.
Below is crystalline Dy6Pb2N at its relaxed geometry, with properties calculated at the GGA-PBE level.

a b c (Å): 14.772 6.894 5.643
angles (deg): 90.00 112.24 90.00
Space group C2/m (No. 12)
Asymmetric unit:
Dy 0.000 0.247 0.000 (multiplicity 4)
Dy 0.122 0.255 0.620 (multiplicity 8)
Pb 0.189 0.000 0.187 (multiplicity 4)
N 0.000 0.500 0.500 (multiplicity 2)

ΔE_f (raw): -0.139 eV per atom
Calculated volume: 532 Å³/cell
D(E_F): 19.7 states/eV/cell